A plane-wave DFT calculation with meta-GGA SCAN was carried out for Cr2CuCI at its PBEsol-relaxed geometry.

E: -1.3059 Ry per atom
Uncorrected formation energy: 9.973 eV/f.u.

a = 4.7319 Å, b = 4.7319 Å, c = 4.7691 Å
α = 90.00°, β = 90.00°, γ = 90.00°
Space group P4/mmm (No. 123)
Asymmetric unit:
Cr1 0.0000 0.5000 0.0000 x2
Cu1 0.0000 0.0000 0.0000 x1
C1 0.5000 0.5000 0.5000 x1
I1 0.0000 0.0000 0.5000 x1


A plane-wave DFT calculation with meta-GGA SCAN was carried out for Zr2MoAu at its PBEsol-relaxed geometry.

Polymorph energy (0 for the lowest one): 0.00 kcal/mol of atoms
ΔH_f (0 K): -0.43 eV/atom
E: -3.0718 Ry per atom

a = 4.6345 Å, b = 4.6345 Å, c = 3.4343 Å
α = 90.00°, β = 90.00°, γ = 90.00°
Space group P4/mmm (No. 123)
Asymmetric unit:
Zr1 0.0000 0.5000 0.0000 x2
Mo1 0.0000 0.0000 0.5000 x1
Au1 0.5000 0.5000 0.5000 x1


> E of number 1 (Cr2CuCI)?

-1.3059 Ry per atom


> Number 1 is which compound?

Cr2CuCI